1.
# LiCa3P (PBE, relaxed)
data_LiCa3P
_cell_length_a 3.982
_cell_length_b 7.671
_cell_length_c 17.564
_cell_angle_alpha 90.00
_cell_angle_beta 90.00
_cell_angle_gamma 90.00
_symmetry_space_group_name_H-M 'P 1'
_symmetry_Int_Tables_number 1
_symmetry_space_group_name_Hall 'P 1'
loop_
_atom_site_label
_atom_site_fract_x
_atom_site_fract_y
_atom_site_fract_z
_atom_site_occupancy
Li1 0.000 0.000 0.000 1
Li2 0.000 0.500 0.500 1
Ca1 0.000 0.245 0.663 1
Ca2 0.000 0.255 0.163 1
Ca3 0.000 0.745 0.163 1
Ca4 0.000 0.755 0.663 1
Ca5 0.500 0.000 0.839 1
Ca6 0.500 0.500 0.339 1
P1 0.500 0.000 0.683 1
P2 0.500 0.500 0.183 1
# Crystal system: orthorhombic
# Space-group type: Amm2
# Energy above the lowest structure with this stoichiometry in eV/atom: 0.4152

***

2.
# LiCa3P (PBE, relaxed)
data_LiCa3P
_cell_length_a 4.549
_cell_length_b 4.549
_cell_length_c 8.880
_cell_angle_alpha 90.00
_cell_angle_beta 90.00
_cell_angle_gamma 90.00
_symmetry_space_group_name_H-M 'P 1'
_symmetry_Int_Tables_number 1
_symmetry_space_group_name_Hall 'P 1'
loop_
_atom_site_label
_atom_site_fract_x
_atom_site_fract_y
_atom_site_fract_z
_atom_site_occupancy
Li1 0.000 0.000 0.000 1
Ca1 0.000 0.000 0.602 1
Ca2 0.000 0.500 0.289 1
Ca3 0.500 0.000 0.289 1
P1 0.500 0.500 0.490 1
# Crystal system: tetragonal
# Space-group type: P4mm
# Energy above the lowest structure with this stoichiometry in eV/atom: 0.3705

***

3.
# LiCa3P (PBE, relaxed)
data_LiCa3P
_cell_length_a 7.843
_cell_length_b 11.157
_cell_length_c 7.863
_cell_angle_alpha 90.00
_cell_angle_beta 90.00
_cell_angle_gamma 90.00
_symmetry_space_group_name_H-M 'P 1'
_symmetry_Int_Tables_number 1
_symmetry_space_group_name_Hall 'P 1'
loop_
_atom_site_label
_atom_site_fract_x
_atom_site_fract_y
_atom_site_fract_z
_atom_site_occupancy
Li1 0.011 0.250 0.002 1
Li2 0.489 0.750 0.502 1
Li3 0.511 0.250 0.498 1
Li4 0.989 0.750 0.998 1
Ca1 0.001 0.750 0.465 1
Ca2 0.225 0.517 0.775 1
Ca3 0.225 0.983 0.775 1
Ca4 0.275 0.017 0.275 1
Ca5 0.275 0.483 0.275 1
Ca6 0.499 0.250 0.965 1
Ca7 0.501 0.750 0.035 1
Ca8 0.725 0.517 0.725 1
Ca9 0.725 0.983 0.725 1
Ca10 0.775 0.017 0.225 1
Ca11 0.775 0.483 0.225 1
Ca12 0.999 0.250 0.535 1
P1 0.000 0.000 0.500 1
P2 0.000 0.500 0.500 1
P3 0.500 0.000 0.000 1
P4 0.500 0.500 0.000 1
# Crystal system: orthorhombic
# Space-group type: Pnma
# Energy above the lowest structure with this stoichiometry in eV/atom: 0.0561

***

4.
# Li3CaP (PBE, relaxed)
data_Li3CaP
_cell_length_a 4.762
_cell_length_b 4.762
_cell_length_c 4.762
_cell_angle_alpha 90.00
_cell_angle_beta 90.00
_cell_angle_gamma 90.00
_symmetry_space_group_name_H-M 'P 1'
_symmetry_Int_Tables_number 1
_symmetry_space_group_name_Hall 'P 1'
loop_
_atom_site_label
_atom_site_fract_x
_atom_site_fract_y
_atom_site_fract_z
_atom_site_occupancy
Li1 0.000 0.000 0.500 1
Li2 0.000 0.500 0.000 1
Li3 0.500 0.000 0.000 1
Ca1 0.500 0.500 0.500 1
P1 0.000 0.000 0.000 1
# Crystal system: cubic
# Space-group type: Pm-3m
# Energy above the lowest structure with this stoichiometry in eV/atom: 0.0000

***

5.
# LiCa3P (PBE, relaxed)
data_LiCa3P
_cell_length_a 7.428
_cell_length_b 7.428
_cell_length_c 10.588
_cell_angle_alpha 106.23
_cell_angle_beta 106.23
_cell_angle_gamma 31.50
_symmetry_space_group_name_H-M 'P 1'
_symmetry_Int_Tables_number 1
_symmetry_space_group_name_Hall 'P 1'
loop_
_atom_site_label
_atom_site_fract_x
_atom_site_fract_y
_atom_site_fract_z
_atom_site_occupancy
Li1 0.048 0.048 0.141 1
Li2 0.952 0.952 0.859 1
Ca1 0.111 0.111 0.679 1
Ca2 0.344 0.344 0.640 1
Ca3 0.353 0.353 0.004 1
Ca4 0.647 0.647 0.996 1
Ca5 0.656 0.656 0.360 1
Ca6 0.889 0.889 0.321 1
P1 0.235 0.235 0.196 1
P2 0.765 0.765 0.804 1
# Crystal system: monoclinic
# Space-group type: C2/m
# Energy above the lowest structure with this stoichiometry in eV/atom: 0.0056

***

6.
# LiCa3P (PBE, relaxed)
data_LiCa3P
_cell_length_a 10.006
_cell_length_b 5.832
_cell_length_c 11.266
_cell_angle_alpha 90.00
_cell_angle_beta 112.38
_cell_angle_gamma 90.00
_symmetry_space_group_name_H-M 'P 1'
_symmetry_Int_Tables_number 1
_symmetry_space_group_name_Hall 'P 1'
loop_
_atom_site_label
_atom_site_fract_x
_atom_site_fract_y
_atom_site_fract_z
_atom_site_occupancy
Li1 0.144 0.058 0.024 1
Li2 0.144 0.442 0.524 1
Li3 0.856 0.558 0.476 1
Li4 0.856 0.942 0.976 1
Ca1 0.031 0.605 0.851 1
Ca2 0.031 0.895 0.351 1
Ca3 0.337 0.698 0.209 1
Ca4 0.337 0.802 0.709 1
Ca5 0.372 0.231 0.439 1
Ca6 0.372 0.269 0.939 1
Ca7 0.628 0.731 0.061 1
Ca8 0.628 0.769 0.561 1
Ca9 0.663 0.198 0.291 1
Ca10 0.663 0.302 0.791 1
Ca11 0.969 0.105 0.649 1
Ca12 0.969 0.395 0.149 1
P1 0.316 0.722 0.454 1
P2 0.316 0.778 0.954 1
P3 0.684 0.222 0.046 1
P4 0.684 0.278 0.546 1
# Crystal system: monoclinic
# Space-group type: P2_1/c
# Energy above the lowest structure with this stoichiometry in eV/atom: 0.0493

***

7.
# LiCa3P (PBE, relaxed)
data_LiCa3P
_cell_length_a 7.173
_cell_length_b 3.999
_cell_length_c 10.214
_cell_angle_alpha 90.00
_cell_angle_beta 96.71
_cell_angle_gamma 90.00
_symmetry_space_group_name_H-M 'P 1'
_symmetry_Int_Tables_number 1
_symmetry_space_group_name_Hall 'P 1'
loop_
_atom_site_label
_atom_site_fract_x
_atom_site_fract_y
_atom_site_fract_z
_atom_site_occupancy
Li1 0.024 0.250 0.301 1
Li2 0.976 0.750 0.699 1
Ca1 0.194 0.750 0.107 1
Ca2 0.283 0.750 0.479 1
Ca3 0.347 0.250 0.800 1
Ca4 0.653 0.750 0.200 1
Ca5 0.717 0.250 0.521 1
Ca6 0.806 0.250 0.893 1
P1 0.392 0.250 0.300 1
P2 0.608 0.750 0.700 1
# Crystal system: monoclinic
# Space-group type: P2_1/m
# Energy above the lowest structure with this stoichiometry in eV/atom: 0.0094

***

8.
# LiCa3P (PBE, relaxed)
data_LiCa3P
_cell_length_a 7.046
_cell_length_b 7.046
_cell_length_c 7.046
_cell_angle_alpha 72.56
_cell_angle_beta 72.56
_cell_angle_gamma 72.56
_symmetry_space_group_name_H-M 'P 1'
_symmetry_Int_Tables_number 1
_symmetry_space_group_name_Hall 'P 1'
loop_
_atom_site_label
_atom_site_fract_x
_atom_site_fract_y
_atom_site_fract_z
_atom_site_occupancy
Li1 0.000 0.000 0.000 1
Li2 0.500 0.500 0.500 1
Ca1 0.030 0.497 0.855 1
Ca2 0.355 0.997 0.530 1
Ca3 0.497 0.855 0.030 1
Ca4 0.530 0.355 0.997 1
Ca5 0.855 0.030 0.497 1
Ca6 0.997 0.530 0.355 1
P1 0.177 0.177 0.177 1
P2 0.677 0.677 0.677 1
# Crystal system: trigonal
# Space-group type: R3c
# Energy above the lowest structure with this stoichiometry in eV/atom: 0.0819

***

What are the formation enthalpy at 0 K values for these records? In order: -0.1119 -0.1566 -0.4710 -0.3039 -0.5215 -0.4778 -0.5177 -0.4452 eV per atom.